1.
Sr3Li4Sn2, relaxed, DFT PBE; ΔE_f = -3.50 eV/f.u.
1.0
5.6406 -2.4618 0.0000
5.6406 2.4618 0.0000
-2.1166 0.0000 9.2146
Sr Li Sn
3 4 2
direct
0.0000 0.0000 0.0000
0.3794 0.3794 0.6221
0.6206 0.6206 0.3779
0.0946 0.0946 0.6544
0.2728 0.2728 0.9302
0.7272 0.7272 0.0698
0.9054 0.9054 0.3456
0.2956 0.2956 0.2346
0.7044 0.7044 0.7654

***

2.
Ba5H2Ir, relaxed, DFT PBE; electronic total energy = -3.31 eV per atom
1.0
3.0292 -7.0762 0.0000
3.0292 7.0762 0.0000
0.0000 0.0000 14.7537
Ba H Ir
10 4 2
direct
0.0497 0.9503 0.6169
0.0497 0.9503 0.8831
0.2682 0.7318 0.2500
0.3306 0.6694 0.5737
0.3306 0.6694 0.9263
0.6694 0.3306 0.0737
0.6694 0.3306 0.4263
0.7318 0.2682 0.7500
0.9503 0.0497 0.1169
0.9503 0.0497 0.3831
0.1561 0.8439 0.0417
0.1561 0.8439 0.4583
0.8439 0.1561 0.5417
0.8439 0.1561 0.9583
0.2105 0.7895 0.7500
0.7895 0.2105 0.2500

***

3.
PrNd4Cd5, relaxed, DFT PBE; ΔE_f = -3.18 eV/f.u.
1.0
3.8593 0.0000 0.0000
0.0000 3.8593 0.0000
0.0000 0.0000 19.3453
Pr Nd Cd
1 4 5
direct
0.0000 0.0000 0.0000
0.0000 0.0000 0.2009
0.0000 0.0000 0.4003
0.0000 0.0000 0.5997
0.0000 0.0000 0.7991
0.5000 0.5000 0.1017
0.5000 0.5000 0.3004
0.5000 0.5000 0.5000
0.5000 0.5000 0.6996
0.5000 0.5000 0.8983

***

4.
DyCdSn2, relaxed, DFT PBE; E above lowest polymorph = 0.0 meV per atom; ΔE_f = -1.78 eV/f.u.
1.0
4.7434 0.0000 0.0000
0.0000 4.7434 0.0000
0.0000 0.0000 4.4281
Dy Cd Sn
1 1 2
direct
0.0000 0.0000 0.0000
0.5000 0.5000 0.0000
0.0000 0.5000 0.5000
0.5000 0.0000 0.5000

***

| no. | DOS at the Fermi energy (states/eV/atom) |
| --- | --- |
| 1 | 0.357 |
| 2 | 0.557 |
| 3 | 1.221 |
| 4 | 0.325 |